The following is a DFT calculation (PBE) of a relaxed TmLuPd crystal.

Structure (extended XYZ):
```
12
Lattice="6.955 0.000 0.000 0.000 4.781 0.000 0.000 0.000 8.598" Properties=species:S:1:pos:R:3 pbc="T T T"
Tm 1.013 1.195 0.679
Tm 2.465 3.586 4.978
Tm 4.491 1.195 3.620
Tm 5.942 3.586 7.919
Lu 0.115 1.195 5.779
Lu 3.362 3.586 1.480
Lu 3.593 1.195 7.118
Lu 6.840 3.586 2.819
Pd 1.666 1.195 3.475
Pd 1.811 3.586 7.774
Pd 5.144 1.195 0.824
Pd 5.289 3.586 5.123
```

Results
E_tot: -5.40 eV/atom
Total magnetic moment: 0.00 μB/atom
DFT formation energy: -64.84 kJ/mol of atoms



The following is a DFT calculation (PBE) of a relaxed NdIBr crystal.

Structure (extended XYZ):
```
6
Lattice="2.050 1.184 15.074 -2.050 1.184 15.074 0.000 -2.367 15.074" Properties=species:S:1:pos:R:3 pbc="T T T"
Nd 0.000 0.000 0.000
Nd 0.000 0.000 22.611
I 0.000 0.000 5.410
I 0.000 0.000 39.811
Br 0.000 0.000 13.226
Br 0.000 0.000 31.995
```

Results
E_tot: -4.12 eV/atom
Total magnetic moment: 0.03 μB/atom



Question: The lowest E_tot belongs to which entry?
Answer: TmLuPd



Question: Which of these has the lowest total magnetic moment?
Answer: TmLuPd



Question: Which of these has the lowest total magnetic moment?
Answer: TmLuPd